# 1
Material: Hf2Ag2Pb3
Method: DFT, GGA-PBE
State: optimized geometry

Lattice parameters (Å, degrees): 8.9990 8.9990 8.9990 31.29 31.29 31.29
Atoms (fractional coordinates):
Hf1 0.0000 0.0000 0.0000
Hf2 0.4978 0.4978 0.4978
Ag1 0.2519 0.2519 0.2519
Ag2 0.7392 0.7392 0.7392
Pb1 0.1260 0.1260 0.1260
Pb2 0.3646 0.3646 0.3646
Pb3 0.8873 0.8873 0.8873

Values from the calculation:
For the mass density, the calculation gives 11.37 g cm⁻³. The uncorrected energy is -4.840 eV per atom. Its crystal system is trigonal. The value obtained for the spin magnetization is 0.00 μB per cell.

# 2
Material: Hf2AgPb2
Method: DFT, GGA-PBE
State: optimized geometry

Lattice parameters (Å, degrees): 7.6631 7.6631 7.6631 147.75 147.75 46.25
Atoms (fractional coordinates):
Hf1 0.0946 0.0946 0.0000
Hf2 0.9054 0.9054 0.0000
Ag1 0.5000 0.5000 0.0000
Pb1 0.2500 0.7500 0.5000
Pb2 0.7500 0.2500 0.5000

Values from the calculation:
For the mass density, the calculation gives 11.44 g cm⁻³. The uncorrected energy is -5.449 eV per atom. Its crystal system is tetragonal. Its energy relative to the lowest polymorph listed for this composition is 0.00 kcal/mol of atoms. The value obtained for the spin magnetization is 0.04 μB per cell.

# 3
Material: Hf2AgPb
Method: DFT, GGA-PBE
State: optimized geometry

Lattice parameters (Å, degrees): 5.0269 5.0269 5.0269 60.00 60.00 60.00
Atoms (fractional coordinates):
Hf1 0.0000 0.0000 0.0000
Hf2 0.2500 0.2500 0.2500
Ag1 0.7500 0.7500 0.7500
Pb1 0.5000 0.5000 0.5000

Values from the calculation:
For the mass density, the calculation gives 12.42 g cm⁻³. The uncorrected energy is -6.178 eV per atom. Its crystal system is cubic. The value obtained for the spin magnetization is 2.22 μB per cell.